Entry 1:
Computed, not measured: a relaxed structure of Li2Pm3Pb3 at the PBE level of DFT.

Results
As for the space group: No. 71. For the energy, the calculation gives -4.07 eV/atom. Its crystal system is orthorhombic.

Unit cell a=4.4682 b=4.8390 c=10.3060 alpha=103.58 beta=102.52 gamma=90.00
Fractional positions:
Li  0.7489  0.2489  0.4978
Li  0.2511  0.7511  0.5022
Pm  0.6382  0.6382  0.2765
Pm  0.3618  0.3618  0.7235
Pm  0.5000  0.0000  0.0000
Pb  0.1569  0.1569  0.3138
Pb  0.0000  0.5000  0.0000
Pb  0.8431  0.8431  0.6862

Entry 2:
Computed, not measured: a relaxed structure of LiPm2Pb4 at the PBE level of DFT.

Results
As for the space group: No. 227. For the energy, the calculation gives -4.09 eV/atom. Its crystal system is cubic.

Unit cell a=10.4562 b=10.4562 c=10.4562 alpha=60.00 beta=60.00 gamma=60.00
Fractional positions:
Li  0.6250  0.1250  0.1250
Li  0.1250  0.6250  0.1250
Li  0.1250  0.1250  0.1250
Li  0.1250  0.1250  0.6250
Pm  0.4041  0.4041  0.7877
Pm  0.4041  0.7877  0.4041
Pm  0.4041  0.4041  0.4041
Pm  0.8459  0.8459  0.8459
Pm  0.8459  0.8459  0.4623
Pm  0.4623  0.8459  0.8459
Pm  0.7877  0.4041  0.4041
Pm  0.8459  0.4623  0.8459
Pb  0.0397  0.0397  0.4603
Pb  0.6250  0.1250  0.6250
Pb  0.2103  0.7897  0.7897
Pb  0.0397  0.4603  0.0397
Pb  0.4603  0.4603  0.0397
Pb  0.7897  0.2103  0.2103
Pb  0.2103  0.7897  0.2103
Pb  0.2103  0.2103  0.7897
Pb  0.4603  0.0397  0.0397
Pb  0.7897  0.7897  0.2103
Pb  0.6250  0.6250  0.1250
Pb  0.0397  0.4603  0.4603
Pb  0.4603  0.0397  0.4603
Pb  0.7897  0.2103  0.7897
Pb  0.6250  0.6250  0.6250
Pb  0.1250  0.6250  0.6250

Entry 3:
Computed, not measured: a relaxed structure of LiPmPb4 at the PBE level of DFT.

Results
As for the space group: No. 123. For the energy, the calculation gives -3.74 eV/atom. Its crystal system is tetragonal.

Unit cell a=4.9070 b=4.9070 c=7.6186 alpha=89.99 beta=89.99 gamma=90.00
Fractional positions:
Li  0.0013  0.9972  0.4981
Pm  0.5013  0.4972  0.9981
Pb  0.5013  0.9972  0.2858
Pb  0.5013  0.9974  0.7105
Pb  0.0013  0.4974  0.7105
Pb  0.0012  0.4973  0.2858

Entry 4:
Computed, not measured: a relaxed structure of Li4PmPb at the PBE level of DFT.

Results
As for the space group: No. 216. For the energy, the calculation gives -2.80 eV/atom. Its crystal system is cubic.

Unit cell a=5.6613 b=5.6613 c=5.6613 alpha=60.00 beta=60.00 gamma=60.00
Fractional positions:
Pb  0.0000  0.0000  0.0000
Li  0.6248  0.6248  0.1255
Li  0.6248  0.1255  0.6248
Li  0.6248  0.6248  0.6248
Li  0.1255  0.6248  0.6248
Pm  0.2500  0.2500  0.2500